No. 1
Density functional theory data (PBE+U) for a geometry-optimized SrErWO6 structure.

a b c (Å): 5.6227 5.6227 5.2195
angles (deg): 90.00 90.00 60.00
Last column: nearest neighbours and their distance in Å.
Fractional coordinates of all 9 atoms:
O  0.3488  0.6138  0.2909  1 W 1.96
O  0.6138  0.3488  0.7091  1 W 1.96
O  0.0374  0.6138  0.7091  1 W 1.96
O  0.6138  0.0374  0.2909  1 W 1.96
O  0.0374  0.3488  0.2909  1 W 1.95
O  0.3488  0.0374  0.7091  1 W 1.96
W  0.3333  0.3333  0.5000  6 O 1.95-1.96
Sr  0.0000  0.0000  0.0000  6 O 2.57
Er  0.6666  0.6667  0.5000  6 O 2.24


No. 2
Density functional theory data (PBE+U) for a geometry-optimized SrEr2WO8 structure.

a b c (Å): 5.5145 5.4117 6.7534
angles (deg): 74.32 98.51 106.96
Last column: nearest neighbours and their distance in Å.
Fractional coordinates of all 12 atoms:
W  0.0000  0.0000  0.0000  6 O 1.93-1.97
O  0.1241  0.7976  0.2572  1 W 1.93
O  0.7439  0.0696  0.1365  1 W 1.97
O  0.2561  0.9304  0.8635  1 W 1.97
O  0.5737  0.6338  0.5188  1 O 1.51
O  0.2594  0.3218  0.0383  1 W 1.96
O  0.4263  0.3662  0.4812  1 O 1.51
O  0.7406  0.6782  0.9617  1 W 1.96
O  0.8759  0.2024  0.7428  1 W 1.93
Sr  0.0000  0.0000  0.5000  6 O 2.47-2.64
Er  0.5669  0.3304  0.8277  7 O 2.21-2.43
Er  0.4331  0.6696  0.1723  7 O 2.21-2.43


Across the entries above, E takes the values -65.988 -89.888 eV/cell, respectively.
Across the entries above, DOS at the Fermi energy takes the values 6.38 0.00 states/eV/cell, respectively.